Entry from the Alexandria database: crystalline BaTaBe2 at its relaxed geometry (PBE-GGA).

Spin magnetization = 0.0 μB/f.u.
Space-group type = No. 119
ρ = 7.4 g/cm³
VASP energy = -16.04 eV/cell

Lattice parameters (Å, degrees): 5.4478 5.4478 5.4478 136.61 136.61 63.04
Last column: nearest neighbours and their distance in Å.
Atoms (fractional coordinates):
Be1 0.0000 0.0000 0.0000  4 Ta 2.85, 4 Be 3.07, 4 Ba 3.07
Be2 0.2500 0.7500 0.5000  4 Ba 2.85, 4 Ta 3.07, 4 Be 3.07
Ba1 0.7500 0.2500 0.5000  8 Be 2.85-3.07, 4 Ta 3.07
Ta1 0.5000 0.5000 0.0000  8 Be 2.85-3.07, 4 Ba 3.07